No. 1
! LiO PBE relaxed; values from VASP
&SYSTEM
  ibrav = 0, nat = 2, ntyp = 2
/
ATOMIC_SPECIES
O 16.00 O.upf
Li 6.94 Li.upf
CELL_PARAMETERS angstrom
2.657 0.000 0.000
0.000 2.657 0.000
0.000 0.000 2.140
ATOMIC_POSITIONS angstrom
O 1.329 1.329 1.070
Li 0.000 0.000 0.000
! Formation energy without anion corrections ... -1041 meV per atom
! M_tot ... 0.000 Bohr magnetons per cell
! Crystal system ... tetragonal
! Offset from the most stable computed form ... 0.362 eV/atom

***

No. 2
! LiO PBE relaxed; values from VASP
&SYSTEM
  ibrav = 0, nat = 8, ntyp = 2
/
ATOMIC_SPECIES
Li 6.94 Li.upf
O 16.00 O.upf
CELL_PARAMETERS angstrom
4.122 0.000 0.000
0.000 4.122 0.000
0.000 0.000 4.122
ATOMIC_POSITIONS angstrom
Li 0.000 0.000 0.000
Li 0.000 2.061 2.061
Li 2.061 0.000 2.061
Li 2.061 2.061 0.000
O 2.061 2.061 2.061
O 2.061 0.000 0.000
O 0.000 2.061 0.000
O 0.000 0.000 2.061
! Formation energy without anion corrections ... -1028 meV per atom
! M_tot ... 4.000 Bohr magnetons per cell
! Crystal system ... cubic
! Offset from the most stable computed form ... 0.374 eV/atom

***

No. 3
! LiO PBE relaxed; values from VASP
&SYSTEM
  ibrav = 0, nat = 16, ntyp = 2
/
ATOMIC_SPECIES
Li 6.94 Li.upf
O 16.00 O.upf
CELL_PARAMETERS angstrom
6.840 0.000 0.000
0.000 6.840 0.000
0.000 0.000 3.967
ATOMIC_POSITIONS angstrom
Li 5.832 2.413 0.000
Li 5.832 4.427 1.983
Li 1.007 2.413 1.983
Li 1.007 4.427 0.000
Li 4.427 1.007 1.983
Li 4.427 5.832 0.000
Li 2.413 1.007 0.000
Li 2.413 5.832 1.983
O 2.402 5.822 0.000
O 2.402 1.018 1.983
O 4.437 5.822 1.983
O 4.437 1.018 0.000
O 1.018 4.437 1.983
O 1.018 2.402 0.000
O 5.822 4.437 0.000
O 5.822 2.402 1.983
! Formation energy without anion corrections ... -985 meV per atom
! M_tot ... 8.000 Bohr magnetons per cell
! Crystal system ... tetragonal
! Offset from the most stable computed form ... 0.417 eV/atom

***

No. 4
! LiO PBE relaxed; values from VASP
&SYSTEM
  ibrav = 0, nat = 8, ntyp = 2
/
ATOMIC_SPECIES
Li 6.94 Li.upf
O 16.00 O.upf
CELL_PARAMETERS angstrom
-1.717 0.758 2.565
1.338 -2.874 -0.225
6.335 2.679 3.451
ATOMIC_POSITIONS angstrom
Li 1.903 -0.994 1.568
Li 4.053 1.556 4.223
Li 0.000 0.000 0.000
Li 3.168 1.339 1.725
O 5.709 0.615 3.641
O 1.523 0.486 2.846
O 0.246 -0.053 2.150
O 4.432 0.075 2.945
! Formation energy without anion corrections ... -1403 meV per atom
! M_tot ... 0.000 Bohr magnetons per cell
! Crystal system ... hexagonal
! Offset from the most stable computed form ... 0.000 eV/atom

***

No. 5
! LiO PBE relaxed; values from VASP
&SYSTEM
  ibrav = 0, nat = 8, ntyp = 2
/
ATOMIC_SPECIES
Li 6.94 Li.upf
O 16.00 O.upf
CELL_PARAMETERS angstrom
-2.637 2.033 -0.126
-0.163 -3.028 -1.381
-2.625 -2.979 6.842
ATOMIC_POSITIONS angstrom
Li -2.570 -3.137 3.162
Li -3.343 -4.013 5.175
Li -2.855 -0.837 2.172
Li -2.082 0.040 0.159
O -1.896 -2.372 1.405
O -1.392 -1.800 0.090
O -3.529 -1.602 3.930
O -4.033 -2.174 5.244
! Formation energy without anion corrections ... -1259 meV per atom
! M_tot ... 0.000 Bohr magnetons per cell
! Crystal system ... hexagonal
! Offset from the most stable computed form ... 0.144 eV/atom

***

No. 6
! LiO PBE relaxed; values from VASP
&SYSTEM
  ibrav = 0, nat = 12, ntyp = 2
/
ATOMIC_SPECIES
Li 6.94 Li.upf
O 16.00 O.upf
CELL_PARAMETERS angstrom
-2.347 2.826 -8.957
2.335 -1.977 -1.235
-2.536 -2.849 -0.234
ATOMIC_POSITIONS angstrom
Li -3.298 -0.579 -7.523
Li -0.709 -0.329 -7.409
Li -1.964 -2.184 -2.434
Li 0.304 -1.550 -3.541
Li 1.097 -2.263 -1.001
Li -2.557 -1.247 -4.955
O -2.158 0.993 -7.855
O -1.853 -1.905 -7.077
O -0.587 -0.898 -1.860
O -1.077 -2.840 -4.115
O -0.683 -1.961 -0.440
O 0.535 -0.075 -5.395
! Formation energy without anion corrections ... -1135 meV per atom
! M_tot ... 2.000 Bohr magnetons per cell
! Crystal system ... orthorhombic
! Offset from the most stable computed form ... 0.268 eV/atom